No. 1
Below is an optimized crystal structure of AcMgP2Pd5, with properties calculated at the PBE level.

a = 4.5580 Å, b = 4.5580 Å, c = 8.5343 Å
α = 90.00°, β = 90.00°, γ = 90.00°
Sites, in units of the cell vectors:
Pd (0.0000, 0.5000, 0.1760)
Pd (0.5000, 0.0000, 0.8240)
Pd (0.5000, 0.5000, 0.5000)
Pd (0.5000, 0.0000, 0.1760)
Pd (0.0000, 0.5000, 0.8240)
P (0.5000, 0.5000, 0.7712)
P (0.5000, 0.5000, 0.2288)
Mg (0.0000, 0.0000, 0.0000)
Ac (0.0000, 0.0000, 0.5000)

Calculated values
size of the total moment: 0.000 μB/atom
calculated total energy: -5.373 eV per atom
volume: 177 Å³ per cell
DOS at the Fermi energy: 4.32 states/eV per cell
energy of formation: -652 meV per atom
symmetry: No. 123



No. 2
Below is an optimized crystal structure of Ac2MgP3Pd12, with properties calculated at the PBE level.

a = 7.4928 Å, b = 7.4928 Å, c = 7.4928 Å
α = 70.20°, β = 70.20°, γ = 70.20°
Sites, in units of the cell vectors:
Pd (0.1286, 0.7092, 0.7092)
Pd (0.6270, 0.1376, 0.1376)
Pd (0.1376, 0.6270, 0.1376)
Pd (0.2908, 0.2908, 0.8714)
Pd (0.8714, 0.2908, 0.2908)
Pd (0.7092, 0.1286, 0.7092)
Pd (0.8624, 0.3730, 0.8624)
Pd (0.7092, 0.7092, 0.1286)
Pd (0.1376, 0.1376, 0.6270)
Pd (0.8624, 0.8624, 0.3730)
Pd (0.3730, 0.8624, 0.8624)
Pd (0.2908, 0.8714, 0.2908)
Ac (0.3891, 0.3891, 0.3891)
Ac (0.6109, 0.6109, 0.6109)
P (0.0000, 0.5000, 0.0000)
P (0.0000, 0.0000, 0.5000)
P (0.5000, 0.0000, 0.0000)
Mg (0.0000, 0.0000, 0.0000)

Calculated values
size of the total moment: 0.000 μB/atom
calculated total energy: -5.399 eV per atom
volume: 360 Å³ per cell
DOS at the Fermi energy: 4.34 states/eV per cell
energy of formation: -490 meV per atom
symmetry: No. 166



No. 3
Below is an optimized crystal structure of Ac2MgPPt6, with properties calculated at the PBE level.

a = 6.4026 Å, b = 6.4026 Å, c = 12.3677 Å
α = 75.00°, β = 75.00°, γ = 60.00°
Sites, in units of the cell vectors:
Pt (0.3361, 0.3361, 0.4129)
Pt (0.9148, 0.3361, 0.4129)
Pt (0.6639, 0.6639, 0.5871)
Pt (0.2184, 0.6527, 0.9105)
Pt (0.6527, 0.2184, 0.9105)
Pt (0.3361, 0.9148, 0.4129)
Pt (0.0852, 0.6639, 0.5871)
Pt (0.2184, 0.2184, 0.9105)
Pt (0.3473, 0.7816, 0.0895)
Pt (0.7816, 0.7816, 0.0895)
Pt (0.7816, 0.3473, 0.0895)
Pt (0.6639, 0.0852, 0.5871)
Ac (0.7192, 0.7192, 0.8425)
Ac (0.2808, 0.2808, 0.1575)
Ac (0.8900, 0.8900, 0.3302)
Ac (0.1100, 0.1100, 0.6698)
Mg (0.5762, 0.5762, 0.2715)
Mg (0.4238, 0.4238, 0.7285)
P (0.0000, 0.0000, 0.0000)
P (0.5000, 0.5000, 0.5000)

Calculated values
size of the total moment: 0.000 μB/atom
calculated total energy: -6.074 eV per atom
volume: 419 Å³ per cell
DOS at the Fermi energy: 4.69 states/eV per cell
energy of formation: -927 meV per atom
symmetry: No. 166



No. 4
Below is an optimized crystal structure of Ac2MgP3Pt12, with properties calculated at the PBE level.

a = 7.7691 Å, b = 7.7691 Å, c = 7.7691 Å
α = 64.81°, β = 64.81°, γ = 64.81°
Sites, in units of the cell vectors:
P (0.5000, 0.0000, 0.0000)
P (0.0000, 0.0000, 0.5000)
P (0.0000, 0.5000, 0.0000)
Pt (0.8765, 0.3726, 0.8765)
Pt (0.8765, 0.8765, 0.3726)
Pt (0.3378, 0.9011, 0.3378)
Pt (0.1235, 0.1235, 0.6274)
Pt (0.9011, 0.3378, 0.3378)
Pt (0.6622, 0.0989, 0.6622)
Pt (0.1235, 0.6274, 0.1235)
Pt (0.3378, 0.3378, 0.9011)
Pt (0.6274, 0.1235, 0.1235)
Pt (0.3726, 0.8765, 0.8765)
Pt (0.6622, 0.6622, 0.0989)
Pt (0.0989, 0.6622, 0.6622)
Mg (0.0000, 0.0000, 0.0000)
Ac (0.3874, 0.3874, 0.3874)
Ac (0.6126, 0.6126, 0.6126)

Calculated values
size of the total moment: 0.000 μB/atom
calculated total energy: -5.987 eV per atom
volume: 366 Å³ per cell
DOS at the Fermi energy: 6.87 states/eV per cell
energy of formation: -513 meV per atom
symmetry: No. 166